Record 1
## RbCr2GePt (GGA-PBE)

Data for RbCr2GePt after structural relaxation.

Properties
**Crystal system**: tetragonal
**N(E_F)**: 0.378 states/eV per atom
**ΔE_f**: 1.143 eV/atom
**Total energy**: -5.03 eV per atom

Unit cell a=4.797 b=5.882 c=4.797 alpha=90.00 beta=90.00 gamma=90.00
Last column: magnetic moment on the atom in μB.
Sites, in units of the cell vectors:
Ge 0.000 0.000 0.000  -0.28
Rb 0.000 0.500 0.000  -0.02
Cr 0.000 0.000 0.500  3.74
Cr 0.500 0.000 0.000  3.38
Pt 0.500 0.500 0.500  -0.24



Record 2
## RbSnCl6 (GGA-PBE)

Data for RbSnCl6 after structural relaxation.

Properties
**Crystal system**: monoclinic
**N(E_F)**: 1.072 states/eV per atom
**Formation energy without anion corrections**: -0.990 eV per atom
**Total energy**: -3.00 eV per atom

Unit cell a=6.296 b=6.296 c=6.656 alpha=99.78 beta=99.78 gamma=97.84
Last column: magnetic moment on the atom in μB.
Sites, in units of the cell vectors:
Rb 0.000 0.000 0.000  0.00
Cl 0.561 0.202 0.236  0.11
Cl 0.202 0.561 0.236  0.11
Cl 0.232 0.232 0.602  0.16
Cl 0.768 0.768 0.398  0.16
Cl 0.439 0.798 0.764  0.11
Cl 0.798 0.439 0.764  0.11
Sn 0.500 0.500 0.500  -0.01



Record 3
## DyZnSn (GGA-PBE)

Data for DyZnSn after structural relaxation.

Properties
**Crystal system**: cubic
**N(E_F)**: 0.537 states/eV per atom
**ΔE_f**: -0.404 eV/atom
**Total energy**: -3.70 eV per atom

Unit cell a=4.672 b=4.672 c=4.672 alpha=60.00 beta=60.00 gamma=60.00
Sites, in units of the cell vectors:
Dy 0.500 0.500 0.500
Sn 0.000 0.000 0.000
Zn 0.250 0.250 0.250



Record 4
## La4SnI (GGA-PBE)

Data for La4SnI after structural relaxation.

Properties
**Crystal system**: monoclinic
**N(E_F)**: 1.376 states/eV per atom
**Formation energy without anion corrections**: -0.431 eV per atom
**Total energy**: -4.64 eV per atom

Unit cell a=5.869 b=8.127 c=10.188 alpha=114.70 beta=106.74 gamma=89.99
Sites, in units of the cell vectors:
La 0.427 0.578 0.354
La 0.573 0.422 0.646
La 0.180 0.537 0.859
La 0.072 0.922 0.646
La 0.820 0.463 0.141
La 0.321 0.963 0.141
La 0.928 0.078 0.354
La 0.679 0.037 0.859
Sn 0.750 0.750 0.000
Sn 0.250 0.250 0.000
I 0.000 0.500 0.500
I 0.500 0.000 0.500



Record 5
## Pa2TiC (GGA-PBE)

Data for Pa2TiC after structural relaxation.

Properties
**Crystal system**: trigonal
**N(E_F)**: 1.538 states/eV per atom
**ΔE_f**: 0.111 eV/atom
**Total energy**: -8.92 eV per atom

Unit cell a=3.215 b=3.215 c=8.900 alpha=79.59 beta=79.59 gamma=60.00
Last column: magnetic moment on the atom in μB.
Sites, in units of the cell vectors:
Pa 0.107 0.107 0.678  0.09
Pa 0.893 0.893 0.322  0.09
C 0.500 0.500 0.500  0.00
Ti 0.000 0.000 0.000  0.51



Record 6
## RbSnB (GGA-PBE)

Data for RbSnB after structural relaxation.

Properties
**Crystal system**: orthorhombic
**N(E_F)**: 0.264 states/eV per atom
**ΔE_f**: 0.293 eV/atom
**Total energy**: -3.59 eV per atom

Unit cell a=6.975 b=5.463 c=6.922 alpha=67.37 beta=46.29 gamma=66.34
Sites, in units of the cell vectors:
B 0.167 0.045 0.833
B 0.955 0.833 0.045
Rb 0.221 0.779 0.357
Rb 0.643 0.357 0.779
Sn 0.578 0.054 0.422
Sn 0.946 0.422 0.054



Record 7
## Tb2CeFe (GGA-PBE)

Data for Tb2CeFe after structural relaxation.

Properties
**Crystal system**: orthorhombic
**N(E_F)**: 1.380 states/eV per atom
**ΔE_f**: -0.115 eV/atom
**Total energy**: -6.03 eV per atom

Unit cell a=6.368 b=6.808 c=9.536 alpha=90.00 beta=90.00 gamma=90.00
Sites, in units of the cell vectors:
Ce 0.864 0.073 0.250
Ce 0.636 0.573 0.250
Ce 0.136 0.927 0.750
Ce 0.364 0.427 0.750
Tb 0.673 0.834 0.935
Tb 0.173 0.666 0.435
Tb 0.827 0.334 0.935
Tb 0.173 0.666 0.065
Tb 0.673 0.834 0.565
Tb 0.327 0.166 0.435
Tb 0.327 0.166 0.065
Tb 0.827 0.334 0.565
Fe 0.993 0.644 0.750
Fe 0.507 0.144 0.750
Fe 0.007 0.356 0.250
Fe 0.493 0.856 0.250



Record 8
## CaTl2RhPb (GGA-PBE)

Data for CaTl2RhPb after structural relaxation.

Properties
**Crystal system**: tetragonal
**N(E_F)**: 0.648 states/eV per atom
**ΔE_f**: -0.093 eV/atom
**Total energy**: -3.65 eV per atom

Unit cell a=5.275 b=5.275 c=5.324 alpha=90.00 beta=90.00 gamma=90.00
Sites, in units of the cell vectors:
Ca 0.000 0.000 0.500
Tl 0.500 0.000 0.000
Tl 0.000 0.500 0.000
Pb 0.500 0.500 0.500
Rh 0.000 0.000 0.000



Record 9
## LaDyZnFe (GGA-PBE)

Data for LaDyZnFe after structural relaxation.

Properties
**Crystal system**: cubic
**N(E_F)**: 0.900 states/eV per atom
**ΔE_f**: -0.017 eV/atom
**Total energy**: -4.83 eV per atom

Unit cell a=5.048 b=5.048 c=5.048 alpha=60.00 beta=60.00 gamma=60.00
Last column: magnetic moment on the atom in μB.
Sites, in units of the cell vectors:
La 0.250 0.250 0.250  -0.15
Zn 0.000 0.000 0.000  -0.02
Fe 0.500 0.500 0.500  2.09
Dy 0.750 0.750 0.750  -0.34



Record 10
## LiPm2In2 (GGA-PBE)

Data for LiPm2In2 after structural relaxation.

Properties
**Crystal system**: monoclinic
**N(E_F)**: 0.980 states/eV per atom
**ΔE_f**: -0.368 eV/atom
**Total energy**: -3.75 eV per atom

Unit cell a=4.905 b=6.109 c=10.346 alpha=91.77 beta=76.29 gamma=66.33
Sites, in units of the cell vectors:
In 0.655 0.823 0.867
In 0.345 0.177 0.133
In 0.953 0.685 0.409
In 0.047 0.315 0.591
Pm 0.690 0.272 0.347
Pm 0.085 0.743 0.087
Pm 0.915 0.257 0.913
Pm 0.310 0.728 0.653
Li 0.616 0.115 0.654
Li 0.384 0.885 0.346



Record 11
## SmGa2Os (GGA-PBE)

Data for SmGa2Os after structural relaxation.

Properties
**Crystal system**: trigonal
**N(E_F)**: 0.403 states/eV per atom
**ΔE_f**: -0.362 eV/atom
**Total energy**: -5.86 eV per atom

Unit cell a=4.263 b=4.263 c=5.612 alpha=67.68 beta=67.68 gamma=60.00
Sites, in units of the cell vectors:
Ga 0.214 0.214 0.357
Ga 0.786 0.786 0.643
Os 0.500 0.500 0.500
Sm 0.000 0.000 0.000



Record 12
## PrYHo3 (GGA-PBE)

Data for PrYHo3 after structural relaxation.

Properties
**Crystal system**: monoclinic
**N(E_F)**: 1.984 states/eV per atom
**ΔE_f**: 0.014 eV/atom
**Total energy**: -4.98 eV per atom

Unit cell a=9.611 b=5.704 c=6.288 alpha=90.00 beta=109.02 gamma=90.00
Sites, in units of the cell vectors:
Ho 0.200 0.950 0.767
Ho 0.800 0.450 0.233
Ho 0.999 0.450 0.835
Ho 0.001 0.950 0.165
Ho 0.599 0.450 0.633
Ho 0.401 0.950 0.367
Y 0.599 0.950 0.965
Y 0.401 0.450 0.035
Pr 0.800 0.950 0.567
Pr 0.200 0.450 0.433



Q: Among the records above, which one has the highest total energy?
A: RbSnCl6



Please write out number 12 again, unchanged.
## PrYHo3 (GGA-PBE)

Data for PrYHo3 after structural relaxation.

Properties
**Crystal system**: monoclinic
**N(E_F)**: 1.984 states/eV per atom
**ΔE_f**: 0.014 eV/atom
**Total energy**: -4.98 eV per atom

Unit cell a=9.611 b=5.704 c=6.288 alpha=90.00 beta=109.02 gamma=90.00
Sites, in units of the cell vectors:
Ho 0.200 0.950 0.767
Ho 0.800 0.450 0.233
Ho 0.999 0.450 0.835
Ho 0.001 0.950 0.165
Ho 0.599 0.450 0.633
Ho 0.401 0.950 0.367
Y 0.599 0.950 0.965
Y 0.401 0.450 0.035
Pr 0.800 0.950 0.567
Pr 0.200 0.450 0.433